{
  "formula": "Fe2MoW",
  "functional": "GGA-PBE",
  "state": "optimized geometry",
  "final_energy_ev_per_atom": -10.006,
  "cell": [[4.5656, -0.0004, 0.0000], [1.4082, 4.3430, 0.0000], [-2.9869, -2.1713, 2.6848]],
  "species": ["W", "Fe", "Fe", "Mo"],
  "fractional_positions": [[0.7500, 0.2500, 0.5000], [0.0000, 0.0000, 0.0000], [0.5000, 0.5000, 0.0000], [0.2500, 0.7500, 0.5000]]
}

=====

{
  "formula": "Fe2MoW",
  "functional": "GGA-PBE",
  "state": "optimized geometry",
  "final_energy_ev_per_atom": -9.830,
  "cell": [[8.7589, -0.0018, -0.0011], [8.3369, 2.6861, -0.0011], [8.3369, 1.3090, 2.3456]],
  "species": ["Fe", "Fe", "Mo", "W"],
  "fractional_positions": [[0.5002, 0.5002, 0.5002], [0.9998, 0.9998, 0.9998], [0.2500, 0.2500, 0.2500], [0.7500, 0.7500, 0.7500]]
}